Computed, not measured: a relaxed Cs2AsCl4F2 crystal at the GGA-PBE level of DFT.

POSCAR file:
```
Cs2AsCl4F2
1.0
-5.751 0.114 2.177
0.687 -4.101 5.657
1.058 2.983 6.267
F Cl Cs As
2 4 2 1
Direct
0.739 0.869 0.869
0.261 0.131 0.131
0.317 0.671 0.158
0.683 0.329 0.842
0.683 0.842 0.329
0.317 0.158 0.671
0.181 0.677 0.677
0.819 0.323 0.323
0.500 0.000 0.000
```

**E_form (uncorrected)**: -1.621 eV per atom
**D(E_F)**: 4.4 states/eV per cell
**Crystal system**: monoclinic
**Space group**: C2/m
**Volume**: 28.772 Å³/atom
**M_tot**: 0.00 μB/f.u.

---

Computed, not measured: a relaxed CrHRh3 crystal at the GGA-PBE level of DFT.

POSCAR file:
```
CrHRh3
1.0
4.444 0.000 0.000
0.000 4.444 0.000
0.000 0.000 4.444
H Rh Cr
1 3 1
Direct
0.500 0.500 0.500
0.000 0.500 0.000
0.500 0.000 0.000
0.000 0.000 0.500
0.000 0.000 0.000
```

**D(E_F)**: 5.4 states/eV per cell
**Crystal system**: cubic
**Space group**: Pm-3m
**Volume**: 17.552 Å³/atom
**Polymorph energy (0 for the lowest one)**: 1585 meV per atom
**M_tot**: 0.53 μB/f.u.

---

Computed, not measured: a relaxed ZnIrO3 crystal at the GGA-PBE level of DFT.

POSCAR file:
```
ZnIrO3
1.0
-3.449 -0.501 -1.431
1.510 -1.457 -3.129
-0.137 -3.438 1.535
Ir O Zn
1 3 1
Direct
0.500 0.500 0.500
0.000 0.500 0.000
0.000 0.000 0.500
0.500 0.000 0.000
0.000 0.000 0.000
```

**E_form (uncorrected)**: 0.589 eV per atom
**D(E_F)**: 5.5 states/eV per cell
**Crystal system**: cubic
**Space group**: Pm-3m
**Volume**: 10.696 Å³/atom
**M_tot**: 0.20 μB/f.u.

---

Computed, not measured: a relaxed Rb2Nb2Co crystal at the GGA-PBE level of DFT.

POSCAR file:
```
Rb2Nb2Co
1.0
-6.247 -0.823 -0.398
0.823 -3.869 -4.920
0.416 -5.144 4.114
Co Nb Rb
2 4 4
Direct
0.000 0.000 0.000
0.500 0.500 0.000
0.642 0.142 0.000
0.858 0.642 0.000
0.142 0.358 0.000
0.358 0.858 0.000
0.707 0.793 0.500
0.793 0.293 0.500
0.293 0.207 0.500
0.207 0.707 0.500
```

**D(E_F)**: 7.2 states/eV per cell
**Crystal system**: tetragonal
**Space group**: P4/mbm
**Volume**: 26.304 Å³/atom
**Polymorph energy (0 for the lowest one)**: 0 meV per atom
**ΔH_f (0 K)**: 5.1 eV per formula unit
**M_tot**: 0.00 μB/f.u.

---

Computed, not measured: a relaxed Ac4ZnB3Rh12 crystal at the GGA-PBE level of DFT.

POSCAR file:
```
Ac4ZnB3Rh12
1.0
-3.260 -4.395 5.380
6.951 -2.772 -1.702
0.682 7.178 2.628
Rh Ac B Zn
12 4 3 1
Direct
0.000 0.275 0.275
0.725 0.725 0.000
0.725 0.000 0.725
0.250 0.500 0.750
0.750 0.250 0.500
0.750 0.500 0.250
0.500 0.750 0.250
0.000 0.725 0.725
0.250 0.750 0.500
0.275 0.000 0.275
0.275 0.275 0.000
0.500 0.250 0.750
0.000 0.500 0.000
0.500 0.000 0.000
0.500 0.500 0.500
0.000 0.000 0.500
0.000 0.500 0.500
0.500 0.000 0.500
0.500 0.500 0.000
0.000 0.000 0.000
```

**D(E_F)**: 22.7 states/eV per cell
**Crystal system**: cubic
**Space group**: Im-3m
**Volume**: 17.396 Å³/atom
**ΔH_f (0 K)**: -10.7 eV per formula unit
**M_tot**: 0.00 μB/f.u.

---

Computed, not measured: a relaxed Pr2NiAs3Pd4 crystal at the GGA-PBE level of DFT.

POSCAR file:
```
Pr2NiAs3Pd4
1.0
-1.686 -1.981 -3.470
3.899 0.009 -1.899
2.045 -9.021 4.157
Pd Pr Ni As
4 2 1 3
Direct
0.500 0.000 0.621
0.000 0.500 0.379
0.500 0.500 0.000
0.000 0.000 0.000
0.000 0.500 0.746
0.500 0.000 0.254
0.500 0.500 0.500
0.000 0.000 0.500
0.000 0.500 0.137
0.500 0.000 0.863
```

**D(E_F)**: 8.1 states/eV per cell
**Crystal system**: tetragonal
**Space group**: P-4m2
**Volume**: 19.069 Å³/atom
**ΔH_f (0 K)**: -7.8 eV per formula unit
**M_tot**: 0.00 μB/f.u.

---

Computed, not measured: a relaxed Pr3OsC2 crystal at the GGA-PBE level of DFT.

POSCAR file:
```
Pr3OsC2
1.0
-1.626 5.180 3.029
-5.084 -3.559 0.374
2.222 -2.585 5.614
C Pr Os
4 6 2
Direct
0.000 0.000 0.000
0.401 0.401 0.750
0.000 0.000 0.500
0.599 0.599 0.250
0.261 0.261 0.250
0.275 0.725 0.500
0.739 0.739 0.750
0.275 0.725 0.000
0.725 0.275 0.000
0.725 0.275 0.500
0.150 0.150 0.750
0.850 0.850 0.250
```

**D(E_F)**: 5.6 states/eV per cell
**Crystal system**: orthorhombic
**Space group**: Cmcm
**Volume**: 20.568 Å³/atom
**ΔH_f (0 K)**: 0.3 eV per formula unit
**M_tot**: 0.00 μB/f.u.

---

Computed, not measured: a relaxed IrSN crystal at the GGA-PBE level of DFT.

POSCAR file:
```
IrSN
1.0
3.277 0.000 0.000
-1.639 2.838 0.000
0.000 0.000 5.733
S Ir N
1 1 1
Direct
0.333 0.667 0.050
0.667 0.333 0.787
0.000 0.000 0.667
```

**E_form (uncorrected)**: 0.470 eV per atom
**D(E_F)**: 1.8 states/eV per cell
**Crystal system**: trigonal
**Space group**: P3m1
**Volume**: 17.774 Å³/atom
**Polymorph energy (0 for the lowest one)**: 292 meV per atom
**M_tot**: 0.00 μB/f.u.

---

| no. | VASP energy (Ry per atom) |
| --- | --- |
| 1 | -0.26192 |
| 2 | -0.40501 |
| 3 | -0.32433 |
| 4 | -0.35416 |
| 5 | -0.50229 |
| 6 | -0.42512 |
| 7 | -0.53520 |
| 8 | -0.48765 |